Computed, not measured: crystalline SmYPtRh at its relaxed geometry at the PBE-GGA level of DFT.

Computed properties:
- E above lowest polymorph: 37 meV/atom
- Total moment: 0.0 μB/cell
- ΔH_f (0 K): -964 meV per atom

Lattice parameters (Å, degrees): 4.9542 4.9542 4.9542 60.00 60.00 60.00
Closest atoms and distances in Å follow each position.
Fractional coordinates of all 4 atoms:
Sm 0.0000 0.0000 0.0000  4 Rh 3.03, 4 Pt 3.03
Y 0.5000 0.5000 0.5000  4 Rh 3.03, 4 Pt 3.03
Pt 0.2500 0.2500 0.2500  4 Sm 3.03, 4 Y 3.03
Rh 0.7500 0.7500 0.7500  4 Sm 3.03, 4 Y 3.03